(1)
Below is an optimized crystal structure of SrLi2SiAg, with properties calculated at the PBE level.

a = 4.950 Å, b = 4.950 Å, c = 4.810 Å
α = 90.00°, β = 90.00°, γ = 90.00°
Positions (direct):
Sr 0.000 0.000 0.000
Li 0.000 0.500 0.500
Li 0.500 0.000 0.500
Si 0.500 0.500 0.000
Ag 0.500 0.500 0.500

Values from the calculation:
* symmetry: P4/mmm, No. 123
* formation energy (no corrections): -0.062 eV/atom

(2)
Below is an optimized crystal structure of Cs2Be2CdSe4, with properties calculated at the PBE level.

a = 8.372 Å, b = 8.372 Å, c = 8.150 Å
α = 108.40°, β = 108.40°, γ = 27.28°
Positions (direct):
Cs 0.128 0.128 0.025
Cs 0.872 0.872 0.975
Be 0.321 0.321 0.522
Be 0.679 0.679 0.478
Cd 0.000 0.000 0.500
Se 0.212 0.212 0.646
Se 0.459 0.459 0.699
Se 0.541 0.541 0.301
Se 0.788 0.788 0.354

Values from the calculation:
* symmetry: C2/m, No. 12
* formation energy (no corrections): -0.863 eV/atom

(3)
Below is an optimized crystal structure of Ca2Zn2Rh, with properties calculated at the PBE level.

a = 9.403 Å, b = 9.403 Å, c = 9.403 Å
α = 158.33°, β = 158.33°, γ = 30.83°
Positions (direct):
Ca 0.092 0.092 0.000
Ca 0.908 0.908 0.000
Zn 0.250 0.750 0.500
Zn 0.750 0.250 0.500
Rh 0.500 0.500 0.000

Values from the calculation:
* symmetry: I4/mmm, No. 139
* distance to the lowest polymorph of the same formula: 223 meV/atom

(4)
Below is an optimized crystal structure of SrMgRu2, with properties calculated at the PBE level.

a = 3.037 Å, b = 4.097 Å, c = 6.640 Å
α = 90.00°, β = 90.00°, γ = 90.00°
Positions (direct):
Sr 0.000 0.000 0.000
Mg 0.000 0.000 0.500
Ru 0.500 0.500 0.323
Ru 0.500 0.500 0.677

Values from the calculation:
* symmetry: Pmmm, No. 47

(5)
Below is an optimized crystal structure of Ca2Sb2Pd, with properties calculated at the PBE level.

a = 7.433 Å, b = 7.433 Å, c = 4.696 Å
α = 90.00°, β = 90.00°, γ = 90.00°
Positions (direct):
Ca 0.166 0.334 0.000
Ca 0.334 0.834 0.000
Ca 0.666 0.166 0.000
Ca 0.834 0.666 0.000
Sb 0.146 0.646 0.500
Sb 0.354 0.146 0.500
Sb 0.646 0.854 0.500
Sb 0.854 0.354 0.500
Pd 0.000 0.000 0.500
Pd 0.500 0.500 0.500

Values from the calculation:
* symmetry: P4/mbm, No. 127
* distance to the lowest polymorph of the same formula: 107 meV/atom
* formation energy (no corrections): -0.771 eV/atom

(6)
Below is an optimized crystal structure of BaTeAs, with properties calculated at the PBE level.

a = 5.528 Å, b = 5.528 Å, c = 5.528 Å
α = 60.00°, β = 60.00°, γ = 60.00°
Positions (direct):
Ba 0.000 0.000 0.000
Te 0.250 0.250 0.250
As 0.750 0.750 0.750

Values from the calculation:
* symmetry: F-43m, No. 216
* formation energy (no corrections): -0.300 eV/atom

| no. | Fermi-level density of states (states/eV/f.u.) | total energy (eV per formula unit) |
| --- | --- | --- |
| 1 | 2.458 | -14.1 |
| 2 | 0.000 | -31.8 |
| 3 | 1.766 | -14.8 |
| 4 | 4.169 | -20.1 |
| 5 | 2.886 | -21.3 |
| 6 | 3.751 | -10.6 |